# 1
! ZnCdSO GGA-PBE relaxed; values from VASP
&SYSTEM
  ibrav = 0, nat = 8, ntyp = 4
/
ATOMIC_SPECIES
Zn 65.41 Zn.upf
Cd 112.41 Cd.upf
S 32.06 S.upf
O 16.00 O.upf
ATOMIC_POSITIONS crystal
Zn 0.250 0.250 0.110
Zn 0.750 0.750 0.890
Cd 0.250 0.250 0.603
Cd 0.750 0.750 0.397
S 0.250 0.250 0.864
S 0.750 0.750 0.136
O 0.250 0.750 0.500
O 0.750 0.250 0.500
CELL_PARAMETERS angstrom
3.844 0.000 0.000
0.000 3.844 0.000
0.000 0.000 9.965
! * polymorph energy (0 for the lowest one): 0.494 eV per atom

***

# 2
! Tb2CuAgSb4 GGA-PBE relaxed; values from VASP
&SYSTEM
  ibrav = 0, nat = 8, ntyp = 4
/
ATOMIC_SPECIES
Tb 158.93 Tb.upf
Cu 63.55 Cu.upf
Ag 107.87 Ag.upf
Sb 121.76 Sb.upf
ATOMIC_POSITIONS crystal
Tb 0.000 0.500 0.242
Tb 0.500 0.000 0.758
Cu 0.000 0.000 0.500
Ag 0.500 0.500 0.500
Sb 0.000 0.000 0.000
Sb 0.000 0.500 0.675
Sb 0.500 0.000 0.325
Sb 0.500 0.500 0.000
CELL_PARAMETERS angstrom
4.333 0.000 0.000
0.000 4.333 0.000
0.000 0.000 10.145
! * calculated total energy: -4.65 eV/atom
! * total magnetic moment: 0.000 μB/atom

***

# 3
! Cs2KFeC6N6 GGA-PBE relaxed; values from VASP
&SYSTEM
  ibrav = 0, nat = 32, ntyp = 5
/
ATOMIC_SPECIES
Cs 132.91 Cs.upf
K 39.10 K.upf
Fe 55.84 Fe.upf
C 12.01 C.upf
N 14.01 N.upf
ATOMIC_POSITIONS crystal
Cs 0.221 0.079 0.248
Cs 0.221 0.421 0.748
Cs 0.779 0.579 0.252
Cs 0.779 0.921 0.752
K 0.000 0.000 0.500
K 0.000 0.500 0.000
Fe 0.500 0.000 0.000
Fe 0.500 0.500 0.500
C 0.259 0.125 0.967
C 0.259 0.375 0.467
C 0.336 0.698 0.458
C 0.336 0.802 0.958
C 0.412 0.024 0.835
C 0.412 0.476 0.335
C 0.588 0.524 0.665
C 0.588 0.976 0.165
C 0.664 0.198 0.042
C 0.664 0.302 0.542
C 0.741 0.625 0.533
C 0.741 0.875 0.033
N 0.107 0.201 0.944
N 0.107 0.299 0.444
N 0.232 0.680 0.930
N 0.232 0.820 0.430
N 0.360 0.043 0.733
N 0.360 0.457 0.233
N 0.640 0.543 0.767
N 0.640 0.957 0.267
N 0.768 0.180 0.570
N 0.768 0.320 0.070
N 0.893 0.701 0.556
N 0.893 0.799 0.056
CELL_PARAMETERS angstrom
7.526 0.000 0.000
0.000 8.060 0.000
-7.370 0.000 10.903
! * calculated total energy: -7.40 eV/atom
! * total magnetic moment: 0.063 μB/atom

***

# 4
! GaFeNiPt GGA-PBE relaxed; values from VASP
&SYSTEM
  ibrav = 0, nat = 16, ntyp = 4
/
ATOMIC_SPECIES
Ga 69.72 Ga.upf
Fe 55.84 Fe.upf
Ni 58.69 Ni.upf
Pt 195.08 Pt.upf
ATOMIC_POSITIONS crystal
Ga 0.000 0.000 0.000
Ga 0.000 0.500 0.500
Ga 0.500 0.000 0.500
Ga 0.500 0.500 0.000
Fe 0.250 0.250 0.250
Fe 0.250 0.750 0.750
Fe 0.750 0.250 0.750
Fe 0.750 0.750 0.250
Ni 0.000 0.000 0.500
Ni 0.000 0.500 0.000
Ni 0.500 0.000 0.000
Ni 0.500 0.500 0.500
Pt 0.250 0.250 0.750
Pt 0.250 0.750 0.250
Pt 0.750 0.250 0.250
Pt 0.750 0.750 0.750
CELL_PARAMETERS angstrom
5.953 0.000 0.000
0.000 5.953 0.000
0.000 0.000 5.953
! * polymorph energy (0 for the lowest one): 0.026 eV per atom
! * total magnetic moment: 0.734 μB/atom

***

# 5
! Gd3In3Ni2Au GGA-PBE relaxed; values from VASP
&SYSTEM
  ibrav = 0, nat = 9, ntyp = 4
/
ATOMIC_SPECIES
Gd 157.25 Gd.upf
In 114.82 In.upf
Ni 58.69 Ni.upf
Au 196.97 Au.upf
ATOMIC_POSITIONS crystal
Gd 0.000 0.591 0.000
Gd 0.409 0.409 0.000
Gd 0.591 0.000 0.000
In 0.000 0.272 0.500
In 0.272 0.000 0.500
In 0.728 0.728 0.500
Ni 0.333 0.667 0.500
Ni 0.667 0.333 0.500
Au 0.000 0.000 0.000
CELL_PARAMETERS angstrom
7.570 0.000 0.000
-3.785 6.556 0.000
0.000 0.000 3.949
! * calculated total energy: -4.62 eV/atom
! * total magnetic moment: 0.000 μB/atom

***

# 6
! PuTl2Cl6 GGA-PBE relaxed; values from VASP
&SYSTEM
  ibrav = 0, nat = 18, ntyp = 3
/
ATOMIC_SPECIES
Pu 244.00 Pu.upf
Tl 204.38 Tl.upf
Cl 35.45 Cl.upf
ATOMIC_POSITIONS crystal
Pu 0.000 0.000 0.000
Pu 0.500 0.500 0.500
Tl 0.000 0.000 0.334
Tl 0.000 0.000 0.666
Tl 0.500 0.500 0.166
Tl 0.500 0.500 0.834
Cl 0.181 0.181 0.141
Cl 0.181 0.181 0.859
Cl 0.237 0.237 0.500
Cl 0.263 0.737 0.000
Cl 0.319 0.681 0.359
Cl 0.319 0.681 0.641
Cl 0.681 0.319 0.359
Cl 0.681 0.319 0.641
Cl 0.737 0.263 0.000
Cl 0.763 0.763 0.500
Cl 0.819 0.819 0.141
Cl 0.819 0.819 0.859
CELL_PARAMETERS angstrom
6.983 0.000 0.000
0.000 6.983 0.000
0.000 0.000 13.487
! * calculated total energy: -4.77 eV/atom
! * total magnetic moment: 0.446 μB/atom

***

# 7
! PuUNi4 GGA-PBE relaxed; values from VASP
&SYSTEM
  ibrav = 0, nat = 6, ntyp = 3
/
ATOMIC_SPECIES
Pu 244.00 Pu.upf
U 238.03 U.upf
Ni 58.69 Ni.upf
ATOMIC_POSITIONS crystal
Pu 0.000 0.000 0.000
U 0.750 0.750 0.750
Ni 0.376 0.376 0.376
Ni 0.376 0.376 0.873
Ni 0.376 0.873 0.376
Ni 0.873 0.376 0.376
CELL_PARAMETERS angstrom
0.000 3.520 3.520
3.520 0.000 3.520
3.520 3.520 0.000
! * E_form: -0.31 eV per atom
! * total magnetic moment: 1.184 μB/atom

***

# 8
! Ac2HgPb5 GGA-PBE relaxed; values from VASP
&SYSTEM
  ibrav = 0, nat = 16, ntyp = 3
/
ATOMIC_SPECIES
Ac 227.00 Ac.upf
Hg 200.59 Hg.upf
Pb 207.20 Pb.upf
ATOMIC_POSITIONS crystal
Ac 0.245 0.124 0.000
Ac 0.255 0.624 0.000
Ac 0.745 0.376 0.000
Ac 0.755 0.876 0.000
Hg 0.000 0.000 0.500
Hg 0.500 0.500 0.500
Pb 0.000 0.251 0.500
Pb 0.000 0.500 0.500
Pb 0.000 0.749 0.500
Pb 0.248 0.375 0.000
Pb 0.252 0.875 0.000
Pb 0.500 0.000 0.500
Pb 0.500 0.249 0.500
Pb 0.500 0.751 0.500
Pb 0.748 0.125 0.000
Pb 0.752 0.625 0.000
CELL_PARAMETERS angstrom
7.116 0.000 0.000
0.000 14.250 0.000
0.000 0.000 4.993
! * calculated total energy: -3.80 eV/atom
! * total magnetic moment: 0.000 μB/atom

***

# 9
! LuInCuTc GGA-PBE relaxed; values from VASP
&SYSTEM
  ibrav = 0, nat = 16, ntyp = 4
/
ATOMIC_SPECIES
Lu 174.97 Lu.upf
In 114.82 In.upf
Cu 63.55 Cu.upf
Tc 98.00 Tc.upf
ATOMIC_POSITIONS crystal
Lu 0.000 0.000 0.000
Lu 0.000 0.500 0.500
Lu 0.500 0.000 0.500
Lu 0.500 0.500 0.000
In 0.250 0.250 0.250
In 0.250 0.750 0.750
In 0.750 0.250 0.750
In 0.750 0.750 0.250
Cu 0.000 0.000 0.500
Cu 0.000 0.500 0.000
Cu 0.500 0.000 0.000
Cu 0.500 0.500 0.500
Tc 0.250 0.250 0.750
Tc 0.250 0.750 0.250
Tc 0.750 0.250 0.250
Tc 0.750 0.750 0.750
CELL_PARAMETERS angstrom
6.665 0.000 0.000
0.000 6.665 0.000
0.000 0.000 6.665
! * polymorph energy (0 for the lowest one): 0.279 eV per atom
! * total magnetic moment: 0.001 μB/atom

***

# 10
! NdScO3 GGA-PBE relaxed; values from VASP
&SYSTEM
  ibrav = 0, nat = 20, ntyp = 3
/
ATOMIC_SPECIES
Nd 144.24 Nd.upf
Sc 44.96 Sc.upf
O 16.00 O.upf
ATOMIC_POSITIONS crystal
Nd 0.057 0.250 0.016
Nd 0.443 0.750 0.516
Nd 0.557 0.250 0.484
Nd 0.943 0.750 0.984
Sc 0.000 0.000 0.500
Sc 0.000 0.500 0.500
Sc 0.500 0.000 0.000
Sc 0.500 0.500 0.000
O 0.042 0.750 0.389
O 0.199 0.558 0.802
O 0.199 0.942 0.802
O 0.301 0.058 0.302
O 0.301 0.442 0.302
O 0.458 0.250 0.889
O 0.542 0.750 0.111
O 0.699 0.558 0.698
O 0.699 0.942 0.698
O 0.801 0.058 0.198
O 0.801 0.442 0.198
O 0.958 0.250 0.611
CELL_PARAMETERS angstrom
5.802 0.000 0.000
0.000 8.004 0.000
0.000 0.000 5.565
! * calculated total energy: -8.67 eV/atom
! * total magnetic moment: 0.000 μB/atom

***

# 11
! GdYAg GGA-PBE relaxed; values from VASP
&SYSTEM
  ibrav = 0, nat = 12, ntyp = 3
/
ATOMIC_SPECIES
Gd 157.25 Gd.upf
Y 88.91 Y.upf
Ag 107.87 Ag.upf
ATOMIC_POSITIONS crystal
Gd 0.000 0.000 0.000
Gd 0.000 0.500 0.500
Gd 0.500 0.000 0.500
Gd 0.500 0.500 0.000
Y 0.250 0.250 0.250
Y 0.250 0.750 0.750
Y 0.750 0.250 0.750
Y 0.750 0.750 0.250
Ag 0.250 0.250 0.750
Ag 0.250 0.750 0.250
Ag 0.750 0.250 0.250
Ag 0.750 0.750 0.750
CELL_PARAMETERS angstrom
6.969 0.000 0.000
0.000 6.969 0.000
0.000 0.000 6.969
! * E_form: 0.56 eV per atom
! * total magnetic moment: 0.001 μB/atom

***

# 12
! SmErTl2Zn2 GGA-PBE relaxed; values from VASP
&SYSTEM
  ibrav = 0, nat = 6, ntyp = 4
/
ATOMIC_SPECIES
Sm 150.36 Sm.upf
Er 167.26 Er.upf
Tl 204.38 Tl.upf
Zn 65.41 Zn.upf
ATOMIC_POSITIONS crystal
Sm 0.000 0.000 0.000
Er 0.000 0.000 0.501
Tl 0.333 0.667 0.286
Tl 0.667 0.333 0.773
Zn 0.333 0.667 0.693
Zn 0.667 0.333 0.202
CELL_PARAMETERS angstrom
4.697 0.000 0.000
-2.348 4.067 0.000
0.000 0.000 7.424
! * calculated total energy: -3.10 eV/atom
! * total magnetic moment: 0.001 μB/atom

***

# 13
! TmZn GGA-PBE relaxed; values from VASP
&SYSTEM
  ibrav = 0, nat = 8, ntyp = 2
/
ATOMIC_SPECIES
Tm 168.93 Tm.upf
Zn 65.41 Zn.upf
ATOMIC_POSITIONS crystal
Tm 0.000 0.000 0.000
Tm 0.000 0.500 0.500
Tm 0.500 0.000 0.500
Tm 0.500 0.500 0.000
Zn 0.000 0.000 0.500
Zn 0.000 0.500 0.000
Zn 0.500 0.000 0.000
Zn 0.500 0.500 0.500
CELL_PARAMETERS angstrom
5.810 0.000 0.000
0.000 5.810 0.000
0.000 0.000 5.810
! * E_form: -0.04 eV per atom
! * total magnetic moment: 0.001 μB/atom

***

# 14
! P4Os GGA-PBE relaxed; values from VASP
&SYSTEM
  ibrav = 0, nat = 10, ntyp = 2
/
ATOMIC_SPECIES
P 30.97 P.upf
Os 190.23 Os.upf
ATOMIC_POSITIONS crystal
P 0.025 0.235 0.024
P 0.235 0.025 0.524
P 0.266 0.470 0.268
P 0.470 0.266 0.768
P 0.530 0.734 0.232
P 0.734 0.530 0.732
P 0.765 0.975 0.476
P 0.975 0.765 0.976
Os 0.248 0.752 0.750
Os 0.752 0.248 0.250
CELL_PARAMETERS angstrom
5.469 -2.789 0.000
5.469 2.789 0.000
-2.775 0.000 4.832
! * polymorph energy (0 for the lowest one): 0.339 eV per atom
! * total magnetic moment: 0.000 μB/atom

***

# 15
! ThScOs GGA-PBE relaxed; values from VASP
&SYSTEM
  ibrav = 0, nat = 12, ntyp = 3
/
ATOMIC_SPECIES
Th 232.04 Th.upf
Sc 44.96 Sc.upf
Os 190.23 Os.upf
ATOMIC_POSITIONS crystal
Th 0.000 0.000 0.000
Th 0.000 0.500 0.500
Th 0.500 0.000 0.500
Th 0.500 0.500 0.000
Sc 0.250 0.250 0.250
Sc 0.250 0.750 0.750
Sc 0.750 0.250 0.750
Sc 0.750 0.750 0.250
Os 0.250 0.250 0.750
Os 0.250 0.750 0.250
Os 0.750 0.250 0.250
Os 0.750 0.750 0.750
CELL_PARAMETERS angstrom
6.635 0.000 0.000
0.000 6.635 0.000
0.000 0.000 6.635
! * E_form: 0.66 eV per atom
! * polymorph energy (0 for the lowest one): 0.924 eV per atom
! * total magnetic moment: 0.002 μB/atom

***

# 16
! NaZn2 GGA-PBE relaxed; values from VASP
&SYSTEM
  ibrav = 0, nat = 12, ntyp = 2
/
ATOMIC_SPECIES
Na 22.99 Na.upf
Zn 65.41 Zn.upf
ATOMIC_POSITIONS crystal
Na 0.250 0.083 0.100
Na 0.250 0.417 0.100
Na 0.750 0.583 0.900
Na 0.750 0.917 0.900
Zn 0.250 0.250 0.616
Zn 0.250 0.597 0.559
Zn 0.250 0.750 0.104
Zn 0.250 0.903 0.559
Zn 0.750 0.097 0.441
Zn 0.750 0.250 0.896
Zn 0.750 0.403 0.441
Zn 0.750 0.750 0.384
CELL_PARAMETERS angstrom
4.609 0.000 0.000
0.000 8.956 0.000
0.000 0.000 5.280
! * calculated total energy: -1.17 eV/atom

***

# 17
! Ba2Pd17 GGA-PBE relaxed; values from VASP
&SYSTEM
  ibrav = 0, nat = 38, ntyp = 2
/
ATOMIC_SPECIES
Ba 137.33 Ba.upf
Pd 106.42 Pd.upf
ATOMIC_POSITIONS crystal
Ba 0.000 0.000 0.250
Ba 0.000 0.000 0.750
Ba 0.333 0.667 0.250
Ba 0.667 0.333 0.750
Pd 0.000 0.500 0.000
Pd 0.000 0.500 0.500
Pd 0.043 0.371 0.750
Pd 0.043 0.671 0.750
Pd 0.166 0.331 0.020
Pd 0.166 0.331 0.480
Pd 0.166 0.834 0.020
Pd 0.166 0.834 0.480
Pd 0.329 0.371 0.750
Pd 0.329 0.957 0.750
Pd 0.331 0.166 0.520
Pd 0.331 0.166 0.980
Pd 0.333 0.667 0.603
Pd 0.333 0.667 0.897
Pd 0.371 0.043 0.250
Pd 0.371 0.329 0.250
Pd 0.500 0.000 0.000
Pd 0.500 0.000 0.500
Pd 0.500 0.500 0.000
Pd 0.500 0.500 0.500
Pd 0.629 0.671 0.750
Pd 0.629 0.957 0.750
Pd 0.667 0.333 0.103
Pd 0.667 0.333 0.397
Pd 0.669 0.834 0.020
Pd 0.669 0.834 0.480
Pd 0.671 0.043 0.250
Pd 0.671 0.629 0.250
Pd 0.834 0.166 0.520
Pd 0.834 0.166 0.980
Pd 0.834 0.669 0.520
Pd 0.834 0.669 0.980
Pd 0.957 0.329 0.250
Pd 0.957 0.629 0.250
CELL_PARAMETERS angstrom
9.284 0.000 0.000
-4.642 8.040 0.000
0.000 0.000 9.033
! * polymorph energy (0 for the lowest one): 0.002 eV per atom

***

# 18
! TmTe GGA-PBE relaxed; values from VASP
&SYSTEM
  ibrav = 0, nat = 2, ntyp = 2
/
ATOMIC_SPECIES
Tm 168.93 Tm.upf
Te 127.60 Te.upf
ATOMIC_POSITIONS crystal
Tm 0.000 0.000 0.000
Te 0.500 0.500 0.500
CELL_PARAMETERS angstrom
3.748 0.000 0.000
0.000 3.748 0.000
0.000 0.000 3.692
! * calculated total energy: -4.86 eV/atom
! * total magnetic moment: 0.236 μB/atom

***

# 19
! Ho3Tm3ReTe2 GGA-PBE relaxed; values from VASP
&SYSTEM
  ibrav = 0, nat = 9, ntyp = 4
/
ATOMIC_SPECIES
Ho 164.93 Ho.upf
Tm 168.93 Tm.upf
Re 186.21 Re.upf
Te 127.60 Te.upf
ATOMIC_POSITIONS crystal
Ho 0.000 0.761 0.000
Ho 0.239 0.239 0.000
Ho 0.761 0.000 0.000
Tm 0.000 0.384 0.500
Tm 0.384 0.000 0.500
Tm 0.616 0.616 0.500
Re 0.000 0.000 0.500
Te 0.333 0.667 0.000
Te 0.667 0.333 0.000
CELL_PARAMETERS angstrom
8.200 0.000 0.000
-4.100 7.101 0.000
0.000 0.000 4.133
! * polymorph energy (0 for the lowest one): 0.040 eV per atom
! * total magnetic moment: 0.007 μB/atom

***

# 20
! Cu4Ag GGA-PBE relaxed; values from VASP
&SYSTEM
  ibrav = 0, nat = 10, ntyp = 2
/
ATOMIC_SPECIES
Cu 63.55 Cu.upf
Ag 107.87 Ag.upf
ATOMIC_POSITIONS crystal
Cu 0.000 0.000 0.000
Cu 0.106 0.500 0.284
Cu 0.305 0.500 0.910
Cu 0.393 0.000 0.188
Cu 0.500 0.500 0.500
Cu 0.607 0.000 0.812
Cu 0.695 0.500 0.090
Cu 0.894 0.500 0.716
Ag 0.208 0.000 0.603
Ag 0.792 0.000 0.397
CELL_PARAMETERS angstrom
5.921 0.000 0.000
0.000 3.712 0.000
-0.043 0.000 5.922
! * E_form: 0.07 eV per atom
! * polymorph energy (0 for the lowest one): 0.022 eV per atom

***

# 21
! ErGaGe GGA-PBE relaxed; values from VASP
&SYSTEM
  ibrav = 0, nat = 9, ntyp = 3
/
ATOMIC_SPECIES
Er 167.26 Er.upf
Ga 69.72 Ga.upf
Ge 72.64 Ge.upf
ATOMIC_POSITIONS crystal
Er 0.000 0.276 0.000
Er 0.276 0.000 0.000
Er 0.724 0.724 0.000
Ga 0.000 0.593 0.500
Ga 0.407 0.407 0.500
Ga 0.593 0.000 0.500
Ge 0.000 0.000 0.500
Ge 0.333 0.667 0.000
Ge 0.667 0.333 0.000
CELL_PARAMETERS angstrom
7.582 0.000 0.000
-3.791 6.566 0.000
0.000 0.000 3.942
! * calculated total energy: -4.40 eV/atom
! * total magnetic moment: 0.002 μB/atom

***

# 22
! PuMgPd GGA-PBE relaxed; values from VASP
&SYSTEM
  ibrav = 0, nat = 12, ntyp = 3
/
ATOMIC_SPECIES
Pu 244.00 Pu.upf
Mg 24.30 Mg.upf
Pd 106.42 Pd.upf
ATOMIC_POSITIONS crystal
Pu 0.000 0.000 0.000
Pu 0.000 0.500 0.500
Pu 0.500 0.000 0.500
Pu 0.500 0.500 0.000
Mg 0.250 0.250 0.750
Mg 0.250 0.750 0.250
Mg 0.750 0.250 0.250
Mg 0.750 0.750 0.750
Pd 0.000 0.000 0.500
Pd 0.000 0.500 0.000
Pd 0.500 0.000 0.000
Pd 0.500 0.500 0.500
CELL_PARAMETERS angstrom
6.472 0.000 0.000
0.000 6.472 0.000
0.000 0.000 6.472
! * calculated total energy: -6.68 eV/atom
! * total magnetic moment: 2.097 μB/atom